! ZrPIrO2, optimized geometry, DFT PBE; values from VASP
! energy relative to the elements, uncorrected	-12.4	kJ/mol of atoms
! DOS(E_F)	0.266	states/eV/atom
! polymorph energy (0 for the lowest one)	48.9	kJ/mol of atoms
&SYSTEM
  ibrav = 0, nat = 5, ntyp = 4
/
ATOMIC_SPECIES
Zr 91.22 Zr.upf
P 30.97 P.upf
Ir 192.22 Ir.upf
O 16.00 O.upf
CELL_PARAMETERS angstrom
3.598 0.000 0.000
0.000 3.598 0.000
0.000 0.000 5.839
ATOMIC_POSITIONS angstrom
Zr 0.000 0.000 0.000
P 0.000 0.000 2.920
Ir 1.799 1.799 0.000
O 0.000 1.799 2.920
O 1.799 0.000 2.920